Computed, not measured: an optimized crystal structure of Nd2Be3PdPt4 at the GGA-PBE level of DFT.

a = 4.0348 Å, b = 4.0348 Å, c = 10.4469 Å
α = 90.00°, β = 90.00°, γ = 90.00°
Last column: nearest neighbours and their distance in Å.
Element x y z (fractional)
Nd 0.0000 0.5000 0.2463  8 Pt 3.00-3.27, 6 Be 3.17-3.33, 2 Pd 3.33
Nd 0.5000 0.0000 0.7537  8 Pt 3.00-3.27, 6 Be 3.17-3.33, 2 Pd 3.33
Be 0.0000 0.5000 0.8869  5 Pt 2.30-2.34
Be 0.5000 0.0000 0.1131  5 Pt 2.30-2.34
Be 0.5000 0.5000 0.5000  4 Pt 2.66, 4 Pd 2.85
Pd 0.0000 0.0000 0.5000  4 Pt 2.66, 4 Be 2.85
Pt 0.0000 0.0000 0.0000  4 Be 2.34
Pt 0.0000 0.5000 0.6665  1 Be 2.30
Pt 0.5000 0.0000 0.3335  1 Be 2.30
Pt 0.5000 0.5000 0.0000  4 Be 2.34

- Electronic total energy: -5.83 eV per atom
- Volume: 170 Å³ per cell
- Energy relative to the elements: -0.8200 eV per atom
- Symmetry: No. 115